No. 1
The following is a PBE-GGA calculation of a geometry-optimized Cu2Cl2O structure, from Alexandria.

Results
Formation energy from raw total energies ... 0.486 eV/atom
Final energy ... -2.883 eV per atom

Cell lengths 6.6410, 6.6410, 3.3387 Å; angles 90.00, 90.00, 90.00 degrees
Positions (direct):
1 Cl 0.1748 0.3252 0.0000
2 Cu 0.6372 0.8628 0.5000
3 O 0.5000 0.5000 0.0000
4 Cl 0.3252 0.8252 0.0000
5 Cl 0.6748 0.1748 0.0000
6 O 0.0000 0.0000 0.0000
7 Cu 0.8628 0.3628 0.5000
8 Cu 0.1372 0.6372 0.5000
9 Cu 0.3628 0.1372 0.5000
10 Cl 0.8252 0.6748 0.0000


No. 2
The following is a PBE-GGA calculation of a geometry-optimized Cu4ClO5 structure, from Alexandria.

Results
Energy above the lowest structure with this stoichiometry ... 0.0 meV per atom
Formation energy from raw total energies ... -0.430 eV/atom
Final energy ... -4.733 eV per atom

Cell lengths 4.4509, 5.7613, 10.9255 Å; angles 90.00, 90.00, 90.00 degrees
Positions (direct):
1 O 0.3138 0.2472 0.3297
2 Cu 0.5118 0.0000 0.2523
3 O 0.3138 0.7528 0.6703
4 Cu 0.5118 0.0000 0.7477
5 O 0.6862 0.7472 0.8297
6 Cu 0.3164 0.7603 0.5000
7 Cl 0.0581 0.0000 0.0000
8 O 0.3138 0.2472 0.6703
9 O 0.5855 0.0000 0.5000
10 O 0.3138 0.7528 0.3297
11 O 0.6862 0.7472 0.1703
12 O 0.6862 0.2528 0.1703
13 O 0.4145 0.5000 0.0000
14 Cu 0.6836 0.7397 0.0000
15 Cu 0.3164 0.2397 0.5000
16 O 0.6862 0.2528 0.8297
17 Cu 0.6836 0.2603 0.0000
18 Cu 0.4882 0.5000 0.2477
19 Cu 0.4882 0.5000 0.7523
20 Cl 0.9419 0.5000 0.5000


No. 3
The following is a PBE-GGA calculation of a geometry-optimized CuClO structure, from Alexandria.

Results
Energy above the lowest structure with this stoichiometry ... 0.0 meV per atom
Formation energy from raw total energies ... -0.387 eV/atom
Final energy ... -4.020 eV per atom

Cell lengths 6.6867, 11.0580, 13.0098 Å; angles 90.00, 90.00, 90.00 degrees
Positions (direct):
1 Cl 0.4263 0.6677 0.1165
2 Cu 0.3034 0.7785 0.4631
3 Cl 0.5737 0.3323 0.6165
4 O 0.2226 0.9418 0.4590
5 Cl 0.1590 0.0271 0.7917
6 Cl 0.4377 0.1767 0.3868
7 Cl 0.1798 0.6528 0.7137
8 O 0.5160 0.8535 0.5310
9 Cl 0.0737 0.1677 0.1165
10 Cu 0.8017 0.2269 0.5322
11 Cl 0.8202 0.3472 0.2137
12 O 0.9880 0.8487 0.9620
13 Cl 0.8410 0.9729 0.2917
14 O 0.4840 0.1465 0.0310
15 Cu 0.6966 0.2215 0.9631
16 Cl 0.6798 0.8472 0.2137
17 Cu 0.3017 0.2731 0.0322
18 Cu 0.4780 0.5064 0.0123
19 Cu 0.1983 0.7731 0.0322
20 O 0.7774 0.0582 0.9590
21 Cl 0.0623 0.6767 0.3868
22 Cu 0.0220 0.0064 0.0123
23 Cl 0.9377 0.3233 0.8868
24 Cu 0.8034 0.7215 0.9631
25 O 0.2774 0.4418 0.4590
26 Cu 0.4791 0.0130 0.4879
27 O 0.5120 0.3487 0.9620
28 O 0.4880 0.6513 0.4620
29 Cu 0.0209 0.5130 0.4879
30 Cl 0.5623 0.8233 0.8868
31 Cu 0.9791 0.4870 0.9879
32 Cl 0.6590 0.4729 0.2917
33 O 0.0120 0.1513 0.4620
34 O 0.0160 0.6465 0.0310
35 Cu 0.5220 0.4936 0.5123
36 Cl 0.3410 0.5271 0.7917
37 Cu 0.6983 0.7269 0.5322
38 O 0.2781 0.9355 0.0437
39 O 0.9840 0.3535 0.5310
40 Cu 0.5209 0.9870 0.9879
41 Cu 0.1966 0.2785 0.4631
42 Cu 0.9780 0.9936 0.5123
43 O 0.7219 0.0645 0.5437
44 O 0.7781 0.5645 0.5437
45 O 0.7226 0.5582 0.9590
46 O 0.2219 0.4355 0.0437
47 Cl 0.3202 0.1528 0.7137
48 Cl 0.9263 0.8323 0.6165


No. 4
The following is a PBE-GGA calculation of a geometry-optimized CuCl3O structure, from Alexandria.

Results
Energy above the lowest structure with this stoichiometry ... 0.0 meV per atom
Formation energy from raw total energies ... 0.662 eV/atom
Final energy ... -2.257 eV per atom

Cell lengths 4.4684, 4.4684, 4.4684 Å; angles 90.00, 90.00, 90.00 degrees
Positions (direct):
1 Cu 0.5000 0.5000 0.5000
2 O 0.0000 0.0000 0.0000
3 Cl 0.0000 0.5000 0.0000
4 Cl 0.5000 0.0000 0.0000
5 Cl 0.0000 0.0000 0.5000


Q: What is the formation energy from raw total energies in the second record?
A: -0.430 eV/atom


Q: What is the final energy in the second record?
A: -4.733 eV per atom


Q: final energy of number 4 (CuCl3O)?
A: -2.257 eV per atom


Q: Look up the final energy of the third one.
A: -4.020 eV per atom